1.
This record from the Alexandria database describes a relaxed structure of Tl2HW. The functional is PBE-GGA.

Calculated values
Relative energy among the computed polymorphs, eV per atom: 0.281
M_tot, μB/cell: 12.3
N(E_F), states/eV per atom: 0.44

Cell and atoms, written as CIF:
```
data_Tl2HW
_chemical_formula_sum 'Tl8 H4 W4'
_cell_length_a 6.8314
_cell_length_b 6.8314
_cell_length_c 6.8314
_cell_angle_alpha 90.00
_cell_angle_beta 90.00
_cell_angle_gamma 90.00
_space_group_name_H-M_alt 'F m -3 m'
_space_group_IT_number 225
_space_group_name_Hall '-F 4 2 3'
loop_
_atom_site_label
_atom_site_type_symbol
_atom_site_fract_x
_atom_site_fract_y
_atom_site_fract_z
Tl1 Tl 0.2500 0.2500 0.2500
H1 H 0.0000 0.0000 0.0000
W1 W 0.0000 0.0000 0.5000
```

***

2.
This record from the Alexandria database describes a relaxed structure of CePmTmTl. The functional is PBE-GGA.

Calculated values
Energy of formation from the pure elements, kJ/mol of atoms: 2.2
M_tot, μB/cell: 0.7
N(E_F), states/eV per atom: 1.65

Cell and atoms, written as CIF:
```
data_CePmTmTl
_chemical_formula_sum 'Ce4 Pm4 Tm4 Tl4'
_cell_length_a 7.6823
_cell_length_b 7.6823
_cell_length_c 7.6823
_cell_angle_alpha 90.00
_cell_angle_beta 90.00
_cell_angle_gamma 90.00
_space_group_name_H-M_alt 'F -4 3 m'
_space_group_IT_number 216
_space_group_name_Hall 'F -4 2 3'
loop_
_atom_site_label
_atom_site_type_symbol
_atom_site_fract_x
_atom_site_fract_y
_atom_site_fract_z
Ce1 Ce 0.0000 0.0000 0.0000
Pm1 Pm 0.2500 0.2500 0.7500
Tm1 Tm 0.2500 0.2500 0.2500
Tl1 Tl 0.0000 0.0000 0.5000
```